No. 1
## Ta4Ru5 (GGA-PBE)

Data for a relaxed Ta4Ru5 crystal.

```
data_Ta4Ru5
_cell_length_a 7.7827
_cell_length_b 7.7827
_cell_length_c 5.4509
_cell_angle_alpha 90.00
_cell_angle_beta 90.00
_cell_angle_gamma 120.00
_symmetry_space_group_name_H-M 'P 63/m c m'
_symmetry_Int_Tables_number 193
_symmetry_space_group_name_Hall '-P 6c 2'
loop_
_atom_site_label
_atom_site_type_symbol
_atom_site_fract_x
_atom_site_fract_y
_atom_site_fract_z
_atom_site_occupancy
Ta1 Ta 0.0000 0.0000 0.0000 1
Ta2 Ta 0.0000 0.3620 0.2500 1
Ru1 Ru 0.0000 0.3130 0.7500 1
Ru2 Ru 0.3333 0.6667 0.0000 1
```

Output
As for the magnetization: 0.000 μB/atom. For the polymorph energy (0 for the lowest one), the calculation gives 60 meV/atom. Its total energy is -10.626 eV per atom. As for the density: 14.28 Mg/m³. Its calculated volume is 15.885 Å³ per atom. The value obtained for the energy relative to the elements is -0.2049 eV per atom.


No. 2
## Ta4Ru (GGA-PBE)

Data for a relaxed Ta4Ru crystal.

```
data_Ta4Ru
_cell_length_a 5.952
_cell_length_b 5.952
_cell_length_c 5.952
_cell_angle_alpha 90.00
_cell_angle_beta 90.00
_cell_angle_gamma 90.00
_symmetry_space_group_name_H-M 'I m -3 m'
_symmetry_Int_Tables_number 229
_symmetry_space_group_name_Hall '-I 4 2 3'
loop_
_atom_site_label
_atom_site_type_symbol
_atom_site_fract_x
_atom_site_fract_y
_atom_site_fract_z
_atom_site_occupancy
Ta1 Ta 0.250 0.250 0.250 1
Ru1 Ru 0.000 0.000 0.000 1
```

Output
As for the magnetization: 0.000 μB/atom. For the polymorph energy (0 for the lowest one), the calculation gives 1076 meV/atom. Its total energy is -10.486 eV per atom. As for the density: 12.99 Mg/m³. Its calculated volume is 21.082 Å³ per atom. The value obtained for the energy relative to the elements is 0.8514 eV per atom.


No. 3
## Ta5Ru6 (GGA-PBE)

Data for a relaxed Ta5Ru6 crystal.

```
data_Ta5Ru6
_cell_length_a 4.440
_cell_length_b 6.223
_cell_length_c 13.237
_cell_angle_alpha 90.00
_cell_angle_beta 90.00
_cell_angle_gamma 90.00
_symmetry_space_group_name_H-M 'I m m m'
_symmetry_Int_Tables_number 71
_symmetry_space_group_name_Hall '-I 2 2'
loop_
_atom_site_label
_atom_site_type_symbol
_atom_site_fract_x
_atom_site_fract_y
_atom_site_fract_z
_atom_site_occupancy
Ta1 Ta 0.000 0.000 0.000 1
Ta2 Ta 0.000 0.000 0.338 1
Ta3 Ta 0.000 0.500 0.337 1
Ru1 Ru 0.000 0.245 0.500 1
Ru2 Ru 0.000 0.252 0.168 1
```

Output
As for the magnetization: 0.000 μB/atom. Its total energy is -10.708 eV per atom. As for the density: 13.72 Mg/m³. Its calculated volume is 16.625 Å³ per atom. The value obtained for the energy relative to the elements is -0.2612 eV per atom.


No. 4
## TaRu3 (GGA-PBE)

Data for a relaxed TaRu3 crystal.

```
data_TaRu3
_cell_length_a 2.807
_cell_length_b 8.837
_cell_length_c 4.796
_cell_angle_alpha 90.00
_cell_angle_beta 90.00
_cell_angle_gamma 90.00
_symmetry_space_group_name_H-M 'I m m 2'
_symmetry_Int_Tables_number 44
loop_
_symmetry_equiv_pos_as_xyz
'x,y,z'
'-x,-y,z'
'-x,y,z'
'x,-y,z'
'x+1/2,y+1/2,z+1/2'
'-x+1/2,-y+1/2,z+1/2'
'-x+1/2,y+1/2,z+1/2'
'x+1/2,-y+1/2,z+1/2'
loop_
_atom_site_label
_atom_site_type_symbol
_atom_site_fract_x
_atom_site_fract_y
_atom_site_fract_z
_atom_site_occupancy
Ta1 Ta 0.000 0.000 0.000 1
Ru1 Ru 0.000 0.248 0.326 1
Ru2 Ru 0.000 0.500 0.995 1
```

Output
As for the magnetization: 0.000 μB/atom. Its total energy is -10.088 eV per atom. As for the density: 13.52 Mg/m³. Its calculated volume is 14.872 Å³ per atom. The value obtained for the energy relative to the elements is -0.1677 eV per atom.


No. 5
## TaRu3 (GGA-PBE)

Data for a relaxed TaRu3 crystal.

```
data_TaRu3
_cell_length_a 9.145
_cell_length_b 2.810
_cell_length_c 4.745
_cell_angle_alpha 90.00
_cell_angle_beta 100.63
_cell_angle_gamma 90.00
_symmetry_space_group_name_H-M 'C 1 2/m 1'
_symmetry_Int_Tables_number 12
loop_
_symmetry_equiv_pos_as_xyz
'x,y,z'
'-x,-y,-z'
'-x,y,-z'
'x,-y,z'
'x+1/2,y+1/2,z'
'-x+1/2,-y+1/2,-z'
'-x+1/2,y+1/2,-z'
'x+1/2,-y+1/2,z'
loop_
_atom_site_label
_atom_site_type_symbol
_atom_site_fract_x
_atom_site_fract_y
_atom_site_fract_z
_atom_site_occupancy
Ta1 Ta 0.000 0.000 0.000 1
Ru1 Ru 0.000 0.500 0.500 1
Ru2 Ru 0.245 0.000 0.734 1
```

Output
As for the magnetization: 0.000 μB/atom. Its total energy is -10.007 eV per atom. As for the density: 13.42 Mg/m³. Its calculated volume is 14.981 Å³ per atom. The value obtained for the energy relative to the elements is -0.0870 eV per atom.


No. 6
## Ta3Ru (GGA-PBE)

Data for a relaxed Ta3Ru crystal.

```
data_Ta3Ru
_cell_length_a 5.6734
_cell_length_b 5.6734
_cell_length_c 4.9993
_cell_angle_alpha 90.00
_cell_angle_beta 90.00
_cell_angle_gamma 120.00
_symmetry_space_group_name_H-M 'P 63/m m c'
_symmetry_Int_Tables_number 194
_symmetry_space_group_name_Hall '-P 6c 2c'
loop_
_atom_site_label
_atom_site_type_symbol
_atom_site_fract_x
_atom_site_fract_y
_atom_site_fract_z
_atom_site_occupancy
Ta1 Ta 0.1699 0.3398 0.2500 1
Ru1 Ru 0.3333 0.6667 0.7500 1
```

Output
As for the magnetization: 0.000 μB/atom. Its total energy is -11.127 eV per atom. As for the density: 15.35 Mg/m³. Its calculated volume is 17.420 Å³ per atom. The value obtained for the energy relative to the elements is 0.0811 eV per atom.


Among the records above, which one has the highest calculated volume? Ta4Ru


Which formula does entry 2 have? Ta4Ru


Which value of magnetization does entry 6 give? 0.000 μB/atom